1.
An optimized crystal structure of La8Dy5Ho, computed with PBE-GGA.

Unit cell a=8.665 b=8.671 c=8.723 alpha=114.33 beta=115.63 gamma=98.60
Element x y z (fractional)
La 0.000 0.000 0.000
La 0.000 0.320 0.437
La 0.393 0.813 0.760
La 0.437 0.437 0.991
La 0.554 0.874 0.428
La 0.607 0.506 0.668
La 0.740 0.277 0.949
La 0.882 0.665 0.478
Dy 0.126 0.658 0.959
Dy 0.221 0.475 0.253
Dy 0.253 0.042 0.469
Dy 0.489 0.149 0.213
Dy 0.776 0.842 0.175
Ho 0.999 0.159 0.714

Computed properties:
Symmetry: P1 (1)
Formation energy: 0.1605 eV per atom


2.
An optimized crystal structure of La8Dy3Ho, computed with PBE-GGA.

Unit cell a=8.760 b=8.760 c=8.760 alpha=100.41 beta=95.03 gamma=137.01
Element x y z (fractional)
La 0.000 0.164 0.164
La 0.000 0.836 0.836
La 0.410 0.495 0.586
La 0.410 0.824 0.915
La 0.499 0.164 0.665
La 0.499 0.835 0.335
La 0.909 0.495 0.085
La 0.909 0.824 0.414
Dy 0.417 0.167 0.250
Dy 0.917 0.167 0.750
Dy 0.992 0.492 0.500
Ho 0.492 0.492 0.000

Computed properties:
Symmetry: Imm2 (44)
Formation energy: 0.0375 eV per atom


3.
An optimized crystal structure of LaDy3Ho2, computed with PBE-GGA.

Unit cell a=9.831 b=3.475 c=12.148 alpha=90.00 beta=107.28 gamma=90.00
Element x y z (fractional)
La 0.213 0.250 0.369
La 0.787 0.750 0.631
Dy 0.294 0.250 0.119
Dy 0.394 0.250 0.870
Dy 0.423 0.750 0.619
Dy 0.577 0.250 0.381
Dy 0.606 0.750 0.130
Dy 0.706 0.750 0.881
Ho 0.021 0.250 0.878
Ho 0.103 0.250 0.620
Ho 0.897 0.750 0.380
Ho 0.979 0.750 0.122

Computed properties:
Symmetry: P2_1/m (11)
Formation energy: 0.1608 eV per atom


4.
An optimized crystal structure of La8DyHo4, computed with PBE-GGA.

Unit cell a=10.902 b=10.902 c=10.902 alpha=38.69 beta=38.69 gamma=38.69
Element x y z (fractional)
La 0.209 0.209 0.209
La 0.209 0.753 0.753
La 0.247 0.247 0.791
La 0.247 0.791 0.247
La 0.753 0.209 0.753
La 0.753 0.753 0.209
La 0.791 0.247 0.247
La 0.791 0.791 0.791
Dy 0.500 0.500 0.500
Ho 0.000 0.000 0.000
Ho 0.000 0.500 0.500
Ho 0.500 0.000 0.500
Ho 0.500 0.500 0.000

Computed properties:
Symmetry: R-3m (166)
Formation energy: 0.1645 eV per atom


5.
An optimized crystal structure of La2DyHo3, computed with PBE-GGA.

Unit cell a=8.984 b=8.984 c=10.248 alpha=122.76 beta=122.76 gamma=36.30
Element x y z (fractional)
La 0.013 0.013 0.367
La 0.275 0.275 0.634
La 0.725 0.725 0.366
La 0.987 0.987 0.633
Dy 0.364 0.364 0.351
Dy 0.636 0.636 0.649
Ho 0.111 0.111 0.151
Ho 0.204 0.204 0.921
Ho 0.448 0.448 0.099
Ho 0.552 0.552 0.901
Ho 0.796 0.796 0.079
Ho 0.889 0.889 0.849

Computed properties:
Symmetry: C2/m (12)
Formation energy: 0.0951 eV per atom


6.
An optimized crystal structure of La5Dy3Ho2, computed with PBE-GGA.

Unit cell a=9.215 b=9.215 c=10.183 alpha=108.35 beta=108.35 gamma=107.62
Element x y z (fractional)
La 0.017 0.983 0.750
La 0.122 0.383 0.758
La 0.226 0.774 0.750
La 0.383 0.122 0.258
La 0.475 0.525 0.250
La 0.525 0.475 0.750
La 0.617 0.878 0.742
La 0.774 0.226 0.250
La 0.878 0.617 0.242
La 0.983 0.017 0.250
Dy 0.220 0.472 0.442
Dy 0.269 0.731 0.250
Dy 0.472 0.220 0.942
Dy 0.528 0.780 0.058
Dy 0.731 0.269 0.750
Dy 0.780 0.528 0.558
Ho 0.026 0.285 0.062
Ho 0.285 0.026 0.562
Ho 0.715 0.974 0.438
Ho 0.974 0.715 0.938

Computed properties:
Symmetry: C2/c (15)
Formation energy: 0.1596 eV per atom


7.
An optimized crystal structure of LaDy7Ho5, computed with PBE-GGA.

Unit cell a=8.700 b=8.700 c=8.700 alpha=135.05 beta=100.07 gamma=96.74
Element x y z (fractional)
La 0.000 0.000 0.000
Dy 0.221 0.552 0.669
Dy 0.298 0.298 0.000
Dy 0.380 0.050 0.330
Dy 0.606 0.606 0.000
Dy 0.720 0.050 0.670
Dy 0.795 0.295 0.500
Dy 0.883 0.552 0.331
Ho 0.031 0.036 0.468
Ho 0.031 0.563 0.995
Ho 0.304 0.804 0.500
Ho 0.568 0.036 0.005
Ho 0.568 0.563 0.532

Computed properties:
Symmetry: Imm2 (44)
Formation energy: 0.2455 eV per atom


8.
An optimized crystal structure of La4Dy2Ho3, computed with PBE-GGA.

Unit cell a=8.121 b=8.121 c=8.079 alpha=107.43 beta=107.43 gamma=36.99
Element x y z (fractional)
La 0.054 0.054 0.330
La 0.277 0.277 0.668
La 0.723 0.723 0.332
La 0.946 0.946 0.670
Dy 0.168 0.168 0.000
Dy 0.832 0.832 0.000
Ho 0.388 0.388 0.329
Ho 0.500 0.500 0.000
Ho 0.612 0.612 0.671

Computed properties:
Symmetry: C2/m (12)
Formation energy: 0.0315 eV per atom


9.
An optimized crystal structure of La3Dy12Ho, computed with PBE-GGA.

Unit cell a=5.065 b=5.065 c=20.278 alpha=90.00 beta=90.00 gamma=90.00
Element x y z (fractional)
La 0.000 0.000 0.000
La 0.000 0.000 0.250
La 0.000 0.000 0.750
Dy 0.000 0.500 0.126
Dy 0.000 0.500 0.378
Dy 0.000 0.500 0.622
Dy 0.000 0.500 0.874
Dy 0.500 0.000 0.126
Dy 0.500 0.000 0.378
Dy 0.500 0.000 0.622
Dy 0.500 0.000 0.874
Dy 0.500 0.500 0.000
Dy 0.500 0.500 0.252
Dy 0.500 0.500 0.500
Dy 0.500 0.500 0.748
Ho 0.000 0.000 0.500

Computed properties:
Symmetry: P4/mmm (123)
Formation energy: 0.0288 eV per atom


10.
An optimized crystal structure of La4Dy7Ho, computed with PBE-GGA.

Unit cell a=6.740 b=6.740 c=12.873 alpha=113.32 beta=113.32 gamma=52.39
Element x y z (fractional)
La 0.091 0.091 0.289
La 0.365 0.365 0.225
La 0.635 0.635 0.775
La 0.909 0.909 0.711
Dy 0.000 0.000 0.000
Dy 0.166 0.166 0.631
Dy 0.211 0.211 0.917
Dy 0.367 0.367 0.512
Dy 0.633 0.633 0.488
Dy 0.789 0.789 0.083
Dy 0.834 0.834 0.369
Ho 0.500 0.500 0.000

Computed properties:
Symmetry: C2/m (12)
Formation energy: 0.2694 eV per atom